Below is a relaxed structure of KDyAgS2, with properties calculated at the GGA-PBE level.

Computed properties:
- E_form (uncorrected): -1.10 eV/atom
- Crystal system: monoclinic
- Volume: 282.4 Å³ per cell
- Calculated density: 4.39 Mg/m³

Cell: 5.044 7.379 7.690 Å, 99.29 90.00 90.00°
Sites, in units of the cell vectors:
Ag (0.000, 0.000, 0.500)
Ag (0.000, 0.000, 0.000)
K (0.140, 0.500, 0.750)
K (0.860, 0.500, 0.250)
S (0.629, 0.242, 0.536)
S (0.629, 0.758, 0.964)
S (0.371, 0.242, 0.036)
S (0.371, 0.758, 0.464)
Dy (0.494, 0.000, 0.250)
Dy (0.506, 0.000, 0.750)